Record 1
Here is a relaxed NdYMnCd crystal from Alexandria via LeMat-Bulk. Energies are from GGA-PBE. Values from VASP.

Properties
total energy = -5.333 eV per atom
space-group type = No. 216
E_form = 0.00 eV/atom

Structure (Quantum ESPRESSO input):
```
&SYSTEM
  ibrav = 0, nat = 4, ntyp = 4
/
ATOMIC_SPECIES
Nd 144.24 Nd.upf
Y 88.91 Y.upf
Mn 54.94 Mn.upf
Cd 112.41 Cd.upf
ATOMIC_POSITIONS crystal
Nd 0.250 0.250 0.250
Y 0.750 0.750 0.750
Mn 0.500 0.500 0.500
Cd 0.000 0.000 0.000
CELL_PARAMETERS angstrom
5.260 0.000 0.000
2.630 4.555 0.000
2.630 1.518 4.294
```

---

Record 2
Here is a relaxed Tb5Dy2Tm4 crystal from Alexandria via LeMat-Bulk. Energies are from GGA-PBE. Values from VASP.

Properties
total energy = -4.353 eV per atom
space-group type = No. 71
E_form = 0.21 eV/atom

Structure (Quantum ESPRESSO input):
```
&SYSTEM
  ibrav = 0, nat = 11, ntyp = 3
/
ATOMIC_SPECIES
Tm 168.93 Tm.upf
Tb 158.93 Tb.upf
Dy 162.50 Dy.upf
ATOMIC_POSITIONS crystal
Tm 0.000 0.687 0.000
Tm 0.000 0.313 0.000
Tm 0.597 0.597 0.194
Tm 0.403 0.403 0.806
Tb 0.856 0.055 0.712
Tb 0.144 0.342 0.288
Tb 0.500 0.000 0.000
Tb 0.856 0.658 0.712
Tb 0.144 0.945 0.288
Dy 0.731 0.731 0.463
Dy 0.269 0.269 0.537
CELL_PARAMETERS angstrom
3.468 0.000 0.000
0.000 8.923 0.000
-1.734 -4.461 11.537
```

---

Record 3
Here is a relaxed Si2TcOs crystal from Alexandria via LeMat-Bulk. Energies are from GGA-PBE. Values from VASP.

Properties
total energy = -8.514 eV per atom
space-group type = No. 123

Structure (Quantum ESPRESSO input):
```
&SYSTEM
  ibrav = 0, nat = 4, ntyp = 3
/
ATOMIC_SPECIES
Os 190.23 Os.upf
Si 28.09 Si.upf
Tc 98.00 Tc.upf
ATOMIC_POSITIONS crystal
Os 0.500 0.500 0.500
Si 0.000 0.000 0.500
Si 0.000 0.500 0.000
Tc 0.500 0.000 0.000
CELL_PARAMETERS angstrom
2.965 0.050 0.065
-0.083 4.150 0.534
-0.083 -0.536 4.150
```